1.
DFT (PBE) results for a geometry-optimized Ac7Pb2N2 structure.

Results
The calculation puts the magnetization at 0.000 Bohr magnetons per cell. For the calculated total energy, the calculation gives -58.27 eV/cell. The density of states at the Fermi level is 7.23 states/eV per cell. The space group is C2/m (12). The calculation puts the calculated density at 8.14 Mg/m³.

Cell: 7.8431 7.8431 6.8711 Å, 97.28 97.28 93.88°
Closest atoms and distances in Å follow each position.
Fractional positions:
Ac  0.0000  0.0000  0.0000  2 N 2.51
Ac  0.1371  0.4658  0.7903  1 N 2.46
Ac  0.3714  0.3714  0.2899  1 N 2.40
Ac  0.4658  0.1371  0.7903  1 N 2.46
Ac  0.5342  0.8629  0.2097  1 N 2.46
Ac  0.6286  0.6286  0.7101  1 N 2.40
Ac  0.8629  0.5342  0.2097  1 N 2.46
Pb  0.2052  0.7948  0.5000  6 Ac 3.50-3.83
Pb  0.7948  0.2052  0.5000  6 Ac 3.50-3.83
N  0.2308  0.2308  0.9744  4 Ac 2.40-2.51
N  0.7692  0.7692  0.0256  4 Ac 2.40-2.51

=====

2.
DFT (PBE) results for a geometry-optimized Ac8Pb3N2 structure.

Results
The calculation puts the magnetization at 0.000 Bohr magnetons per cell. For the calculated total energy, the calculation gives -67.85 eV/cell. The density of states at the Fermi level is 10.17 states/eV per cell. The space group is R-3m (166). The calculation puts the calculated density at 8.41 Mg/m³.

Cell: 10.6828 10.6828 10.6828 Å, 41.66 41.66 41.66°
Closest atoms and distances in Å follow each position.
Fractional positions:
Ac  0.1815  0.1815  0.1815  1 N 2.40
Ac  0.2290  0.2290  0.7316  1 N 2.43
Ac  0.2290  0.7317  0.2290  1 N 2.43
Ac  0.2684  0.7710  0.7710  1 N 2.43
Ac  0.7316  0.2290  0.2290  1 N 2.43
Ac  0.7710  0.2684  0.7710  1 N 2.43
Ac  0.7710  0.7710  0.2684  1 N 2.43
Ac  0.8185  0.8185  0.8185  1 N 2.40
Pb  0.2983  0.2983  0.2983  4 Ac 3.41-3.62
Pb  0.5000  0.5000  0.5000  6 Ac 3.74
Pb  0.7017  0.7017  0.7017  4 Ac 3.41-3.62
N  0.0996  0.0996  0.0996  4 Ac 2.40-2.43
N  0.9004  0.9004  0.9004  4 Ac 2.40-2.43

=====

3.
DFT (PBE) results for a geometry-optimized Ac6PbN4 structure.

Results
The calculation puts the magnetization at 0.001 Bohr magnetons per cell. For the calculated total energy, the calculation gives -142.59 eV/cell. The density of states at the Fermi level is 8.99 states/eV per cell. The space group is Cmcm (63). The calculation puts the calculated density at 9.60 Mg/m³.

Cell: 6.9351 6.9351 21.1245 Å, 90.00 90.00 146.41°
Closest atoms and distances in Å follow each position.
Fractional positions:
Ac  0.0000  0.0000  0.0000  6 N 2.77-2.87
Ac  0.0000  0.0000  0.5000  6 N 2.77-2.87
Ac  0.1300  0.8700  0.7500  2 N 2.80
Ac  0.2780  0.7220  0.0765  5 N 2.61-2.91
Ac  0.2780  0.7220  0.4235  5 N 2.61-2.91
Ac  0.4588  0.5412  0.6424  3 N 2.61
Ac  0.4588  0.5412  0.8576  3 N 2.61
Ac  0.5412  0.4588  0.1424  3 N 2.61
Ac  0.5412  0.4588  0.3576  3 N 2.61
Ac  0.7220  0.2780  0.5765  5 N 2.61-2.91
Ac  0.7220  0.2780  0.9235  5 N 2.61-2.91
Ac  0.8700  0.1300  0.2500  2 N 2.80
Pb  0.1664  0.8336  0.2500  6 Ac 3.36-3.46
Pb  0.8336  0.1664  0.7500  6 Ac 3.36-3.46
N  0.0798  0.9202  0.6211  6 Ac 2.61-2.91
N  0.0798  0.9202  0.8789  6 Ac 2.61-2.91
N  0.3565  0.6435  0.5371  6 Ac 2.61-2.87
N  0.3565  0.6435  0.9629  6 Ac 2.61-2.87
N  0.6435  0.3565  0.0371  6 Ac 2.61-2.87
N  0.6435  0.3565  0.4629  6 Ac 2.61-2.87
N  0.9202  0.0798  0.1211  6 Ac 2.61-2.91
N  0.9202  0.0798  0.3789  6 Ac 2.61-2.91

=====

4.
DFT (PBE) results for a geometry-optimized Ac4Pb3N2 structure.

Results
The calculation puts the magnetization at 0.000 Bohr magnetons per cell. For the calculated total energy, the calculation gives -50.57 eV/cell. The density of states at the Fermi level is 5.92 states/eV per cell. The space group is C2/m (12). The calculation puts the calculated density at 8.63 Mg/m³.

Cell: 8.5936 8.5936 10.2284 Å, 120.12 120.12 27.59°
Closest atoms and distances in Å follow each position.
Fractional positions:
Ac  0.1361  0.1361  0.4102  3 N 2.49-2.52
Ac  0.3037  0.3037  0.8701  1 N 2.28
Ac  0.6963  0.6963  0.1299  1 N 2.28
Ac  0.8639  0.8639  0.5898  3 N 2.49-2.52
Pb  0.0000  0.0000  0.0000  6 Ac 3.49-3.59
Pb  0.4220  0.4220  0.3108  1 Pb 3.37
Pb  0.5780  0.5780  0.6892  1 Pb 3.37
N  0.2961  0.2961  0.6413  4 Ac 2.28-2.52
N  0.7039  0.7039  0.3587  4 Ac 2.28-2.52

=====

5.
DFT (PBE) results for a geometry-optimized Ac12Pb5N2 structure.

Results
The calculation puts the magnetization at 1.156 Bohr magnetons per cell. For the calculated total energy, the calculation gives -92.45 eV/cell. The density of states at the Fermi level is 18.25 states/eV per cell. The space group is C2/m (12). The calculation puts the calculated density at 8.25 Mg/m³.

Cell: 10.2573 10.2573 10.2058 Å, 104.63 104.63 47.61°
Closest atoms and distances in Å follow each position.
Fractional positions:
Ac  0.0013  0.0013  0.3291  2 N 2.80
Ac  0.0960  0.6087  0.4262  1 N 2.67
Ac  0.0991  0.6041  0.9264  4 Pb 3.37-3.47
Ac  0.3913  0.9040  0.5738  1 N 2.67
Ac  0.3959  0.9009  0.0736  4 Pb 3.37-3.47
Ac  0.4982  0.4982  0.3130  2 N 2.73
Ac  0.5018  0.5018  0.6870  2 N 2.73
Ac  0.6041  0.0991  0.9264  4 Pb 3.37-3.47
Ac  0.6087  0.0960  0.4262  1 N 2.67
Ac  0.9009  0.3959  0.0736  4 Pb 3.37-3.47
Ac  0.9040  0.3913  0.5738  1 N 2.67
Ac  0.9987  0.9987  0.6709  2 N 2.80
Pb  0.0000  0.0000  0.0000  6 Ac 3.35-3.37
Pb  0.3039  0.3039  0.1512  7 Ac 3.40-3.56
Pb  0.3116  0.3116  0.6574  7 Ac 3.37-3.58
Pb  0.6884  0.6884  0.3426  7 Ac 3.37-3.58
Pb  0.6961  0.6961  0.8488  7 Ac 3.40-3.56
N  0.2638  0.7362  0.5000  6 Ac 2.67-2.80
N  0.7362  0.2638  0.5000  6 Ac 2.67-2.80

=====

6.
DFT (PBE) results for a geometry-optimized Ac4Pb3N structure.

Results
The calculation puts the magnetization at 0.000 Bohr magnetons per cell. For the calculated total energy, the calculation gives -41.30 eV/cell. The density of states at the Fermi level is 5.08 states/eV per cell. The space group is I-43m (217). The calculation puts the calculated density at 8.92 Mg/m³.

Cell: 7.2000 7.2000 7.2000 Å, 109.47 109.47 109.47°
Closest atoms and distances in Å follow each position.
Fractional positions:
Ac  0.0000  0.0000  0.6551  1 N 2.48
Ac  0.0000  0.6551  0.0000  1 N 2.48
Ac  0.3449  0.3449  0.3449  1 N 2.48
Ac  0.6551  0.0000  0.0000  1 N 2.48
Pb  0.0000  0.5000  0.5000  4 Ac 3.40
Pb  0.5000  0.0000  0.5000  4 Ac 3.40
Pb  0.5000  0.5000  0.0000  4 Ac 3.40
N  0.0000  0.0000  0.0000  4 Ac 2.48

=====

7.
DFT (PBE) results for a geometry-optimized Ac8PbN6 structure.

Results
The calculation puts the magnetization at 1.719 Bohr magnetons per cell. For the calculated total energy, the calculation gives -99.40 eV/cell. The density of states at the Fermi level is 5.74 states/eV per cell. The space group is R-3 (148). The calculation puts the calculated density at 8.53 Mg/m³.

Cell: 7.4341 7.4341 7.4341 Å, 91.60 91.60 91.60°
Closest atoms and distances in Å follow each position.
Fractional positions:
Ac  0.1057  0.3572  0.7853  3 N 2.51-2.67
Ac  0.2147  0.8943  0.6428  3 N 2.51-2.67
Ac  0.2193  0.2193  0.2193  3 N 2.48
Ac  0.3572  0.7853  0.1057  3 N 2.51-2.67
Ac  0.6428  0.2147  0.8943  3 N 2.51-2.67
Ac  0.7807  0.7807  0.7807  3 N 2.48
Ac  0.7853  0.1057  0.3572  3 N 2.51-2.67
Ac  0.8943  0.6428  0.2147  3 N 2.51-2.67
Pb  0.5000  0.5000  0.5000  8 Ac 3.51-3.81
N  0.0788  0.6797  0.8889  4 Ac 2.48-2.67
N  0.1111  0.9212  0.3203  4 Ac 2.48-2.67
N  0.3203  0.1111  0.9212  4 Ac 2.48-2.67
N  0.6797  0.8889  0.0788  4 Ac 2.48-2.67
N  0.8889  0.0788  0.6797  4 Ac 2.48-2.67
N  0.9212  0.3203  0.1111  4 Ac 2.48-2.67

=====

8.
DFT (PBE) results for a geometry-optimized Ac5Pb4N structure.

Results
The calculation puts the magnetization at 0.000 Bohr magnetons per cell. For the calculated total energy, the calculation gives -48.71 eV/cell. The density of states at the Fermi level is 5.71 states/eV per cell. The space group is I4 (79). The calculation puts the calculated density at 9.30 Mg/m³.

Cell: 8.0081 8.0081 8.0081 Å, 99.96 99.96 130.85°
Closest atoms and distances in Å follow each position.
Fractional positions:
Ac  0.0000  0.0000  0.0000  1 N 2.51
Ac  0.2183  0.3426  0.6562  1 N 2.71
Ac  0.3426  0.6864  0.1243  1 N 2.71
Ac  0.5620  0.2183  0.8757  1 N 2.71
Ac  0.6864  0.5620  0.3438  1 N 2.71
Pb  0.0059  0.6099  0.7245  6 Ac 3.41-3.57, 1 Pb 3.60
Pb  0.2813  0.0059  0.3959  6 Ac 3.41-3.57, 1 Pb 3.60
Pb  0.6099  0.8854  0.6041  6 Ac 3.41-3.57, 1 Pb 3.60
Pb  0.8854  0.2813  0.2755  6 Ac 3.41-3.57, 1 Pb 3.60
N  0.3763  0.3763  0.0000  5 Ac 2.51-2.71

=====

9.
DFT (PBE) results for a geometry-optimized Ac6Pb3N2 structure.

Results
The calculation puts the magnetization at 0.000 Bohr magnetons per cell. For the calculated total energy, the calculation gives -60.86 eV/cell. The density of states at the Fermi level is 2.00 states/eV per cell. The space group is I4/mmm (139). The calculation puts the calculated density at 8.88 Mg/m³.

Cell: 14.2823 14.2823 14.2823 Å, 158.93 158.93 29.96°
Closest atoms and distances in Å follow each position.
Fractional positions:
Ac  0.0853  0.5853  0.5000  2 N 2.67
Ac  0.1948  0.1948  0.0000  1 N 2.45
Ac  0.4147  0.9147  0.5000  2 N 2.67
Ac  0.5853  0.0853  0.5000  2 N 2.67
Ac  0.8052  0.8052  0.0000  1 N 2.45
Ac  0.9147  0.4147  0.5000  2 N 2.67
Pb  0.3241  0.3241  0.0000  9 Ac 3.57-3.73
Pb  0.5000  0.5000  0.0000  8 Ac 3.52
Pb  0.6759  0.6759  0.0000  9 Ac 3.57-3.73
N  0.1059  0.1059  0.0000  5 Ac 2.45-2.67
N  0.8941  0.8941  0.0000  5 Ac 2.45-2.67

=====

10.
DFT (PBE) results for a geometry-optimized Ac3Pb2N2 structure.

Results
The calculation puts the magnetization at 0.000 Bohr magnetons per cell. For the calculated total energy, the calculation gives -41.94 eV/cell. The density of states at the Fermi level is 1.53 states/eV per cell. The space group is C2/m (12). The calculation puts the calculated density at 8.42 Mg/m³.

Cell: 7.4291 7.4291 8.3511 Å, 111.16 111.16 31.23°
Closest atoms and distances in Å follow each position.
Fractional positions:
Ac  0.0000  0.0000  0.0000  2 N 2.46
Ac  0.2228  0.2228  0.7961  3 N 2.47
Ac  0.7772  0.7772  0.2039  3 N 2.47
Pb  0.4366  0.4366  0.6101  1 Pb 3.03
Pb  0.5634  0.5634  0.3899  1 Pb 3.03
N  0.1817  0.1817  0.0580  4 Ac 2.46-2.47
N  0.8183  0.8183  0.9420  4 Ac 2.46-2.47

=====

11.
DFT (PBE) results for a geometry-optimized Ac4Pb2N structure.

Results
The calculation puts the energy above the most stable polymorph in this dataset at 261 meV per atom. The calculation puts the magnetization at 0.000 Bohr magnetons per cell. The density of states at the Fermi level is 5.75 states/eV per cell. The space group is I4/mmm (139). The calculation puts the calculated density at 2.95 Mg/m³.

Cell: 27.6356 27.6356 27.6356 Å, 169.11 169.11 15.42°
Closest atoms and distances in Å follow each position.
Fractional positions:
Ac  0.0000  0.5000  0.5000  2 N 2.62
Ac  0.0495  0.0495  0.0000  1 N 2.71
Ac  0.5000  0.0000  0.5000  2 N 2.62
Ac  0.9505  0.9505  0.0000  1 N 2.71
Pb  0.4533  0.4533  0.0000  8 Ac 3.66-3.71
Pb  0.5467  0.5467  0.0000  8 Ac 3.66-3.71
N  0.0000  0.0000  0.0000  6 Ac 2.62-2.71

=====

12.
DFT (PBE) results for a geometry-optimized Ac12Pb3N5 structure.

Results
The calculation puts the magnetization at 0.001 Bohr magnetons per cell. For the calculated total energy, the calculation gives -462.84 eV/cell. The density of states at the Fermi level is 50.83 states/eV per cell. The space group is Ia-3d (230). The calculation puts the calculated density at 8.64 Mg/m³.

Cell: 15.0554 15.0554 15.0554 Å, 109.47 109.47 109.47°
Closest atoms and distances in Å follow each position.
Fractional positions:
Ac  0.0096  0.1963  0.1088  1 N 2.47
Ac  0.0096  0.3132  0.9008  1 N 2.47
Ac  0.0875  0.6963  0.6868  1 N 2.47
Ac  0.0875  0.8912  0.4008  1 N 2.47
Ac  0.0992  0.6088  0.4125  1 N 2.47
Ac  0.0992  0.9904  0.6868  1 N 2.47
Ac  0.1088  0.0096  0.1963  1 N 2.47
Ac  0.1088  0.5992  0.9125  1 N 2.47
Ac  0.1868  0.1963  0.5875  1 N 2.47
Ac  0.1868  0.4904  0.5992  1 N 2.47
Ac  0.1963  0.1088  0.0096  1 N 2.47
Ac  0.1963  0.5875  0.1868  1 N 2.47
Ac  0.3037  0.3132  0.9125  1 N 2.47
Ac  0.3037  0.4904  0.3912  1 N 2.47
Ac  0.3132  0.9008  0.0096  1 N 2.47
Ac  0.3132  0.9125  0.3037  1 N 2.47
Ac  0.3912  0.3037  0.4904  1 N 2.47
Ac  0.3912  0.5875  0.9008  1 N 2.47
Ac  0.4008  0.0875  0.8912  1 N 2.47
Ac  0.4008  0.8132  0.5096  1 N 2.47
Ac  0.4125  0.0992  0.6088  1 N 2.47
Ac  0.4125  0.8132  0.8037  1 N 2.47
Ac  0.4904  0.3912  0.3037  1 N 2.47
Ac  0.4904  0.5992  0.1868  1 N 2.47
Ac  0.5096  0.4008  0.8132  1 N 2.47
Ac  0.5096  0.6088  0.6963  1 N 2.47
Ac  0.5875  0.1868  0.1963  1 N 2.47
Ac  0.5875  0.9008  0.3912  1 N 2.47
Ac  0.5992  0.1868  0.4904  1 N 2.47
Ac  0.5992  0.9125  0.1088  1 N 2.47
Ac  0.6088  0.4125  0.0992  1 N 2.47
Ac  0.6088  0.6963  0.5096  1 N 2.47
Ac  0.6868  0.0875  0.6963  1 N 2.47
Ac  0.6868  0.0992  0.9904  1 N 2.47
Ac  0.6963  0.5096  0.6088  1 N 2.47
Ac  0.6963  0.6868  0.0875  1 N 2.47
Ac  0.8037  0.4125  0.8132  1 N 2.47
Ac  0.8037  0.8912  0.9904  1 N 2.47
Ac  0.8132  0.5096  0.4008  1 N 2.47
Ac  0.8132  0.8037  0.4125  1 N 2.47
Ac  0.8912  0.4008  0.0875  1 N 2.47
Ac  0.8912  0.9904  0.8037  1 N 2.47
Ac  0.9008  0.0096  0.3132  1 N 2.47
Ac  0.9008  0.3912  0.5875  1 N 2.47
Ac  0.9125  0.1088  0.5992  1 N 2.47
Ac  0.9125  0.3037  0.3132  1 N 2.47
Ac  0.9904  0.6868  0.0992  1 N 2.47
Ac  0.9904  0.8037  0.8912  1 N 2.47
Pb  0.1250  0.2500  0.3750  8 Ac 3.46-3.59
Pb  0.1250  0.3750  0.7500  8 Ac 3.46-3.59
Pb  0.2500  0.3750  0.1250  8 Ac 3.46-3.59
Pb  0.2500  0.8750  0.6250  8 Ac 3.46-3.59
Pb  0.3750  0.1250  0.2500  8 Ac 3.46-3.59
Pb  0.3750  0.7500  0.1250  8 Ac 3.46-3.59
Pb  0.6250  0.2500  0.8750  8 Ac 3.46-3.59
Pb  0.6250  0.8750  0.7500  8 Ac 3.46-3.59
Pb  0.7500  0.1250  0.3750  8 Ac 3.46-3.59
Pb  0.7500  0.6250  0.8750  8 Ac 3.46-3.59
Pb  0.8750  0.6250  0.2500  8 Ac 3.46-3.59
Pb  0.8750  0.7500  0.6250  8 Ac 3.46-3.59
N  0.0000  0.0000  0.0000  6 Ac 2.79
N  0.0000  0.0000  0.5000  6 Ac 2.79
N  0.0000  0.5000  0.0000  6 Ac 2.79
N  0.0000  0.5000  0.5000  6 Ac 2.79
N  0.1250  0.7500  0.8750  4 Ac 2.47
N  0.1250  0.8750  0.2500  4 Ac 2.47
N  0.2500  0.1250  0.8750  4 Ac 2.47
N  0.2500  0.6250  0.3750  4 Ac 2.47
N  0.3750  0.2500  0.6250  4 Ac 2.47
N  0.3750  0.6250  0.7500  4 Ac 2.47
N  0.5000  0.0000  0.0000  6 Ac 2.79
N  0.5000  0.0000  0.5000  6 Ac 2.79
N  0.5000  0.5000  0.0000  6 Ac 2.79
N  0.5000  0.5000  0.5000  6 Ac 2.79
N  0.6250  0.3750  0.2500  4 Ac 2.47
N  0.6250  0.7500  0.3750  4 Ac 2.47
N  0.7500  0.3750  0.6250  4 Ac 2.47
N  0.7500  0.8750  0.1250  4 Ac 2.47
N  0.8750  0.1250  0.7500  4 Ac 2.47
N  0.8750  0.2500  0.1250  4 Ac 2.47